A relaxed structure of TbPr4Er, computed with PBE.

Cell and atoms, written as POSCAR:
```
TbPr4Er
1.0
-7.6564 -2.6993 -0.8403
-4.7396 -4.8373 -4.5551
1.0646 -3.9896 3.1321
Pr Er Tb
4 1 1
direct
0.6647 0.6647 0.0001
0.1643 0.1643 0.4999
0.3353 0.3353 0.9999
0.8357 0.8357 0.5001
0.0000 0.0000 0.0000
0.5000 0.5000 0.5000
```

Properties
**ΔE to the lowest computed polymorph**: 0 kJ/mol of formula units
**Final energy**: -28.18 eV per cell